No. 1
An optimized crystal structure of LiSi, computed with PBE.

```
LiSi
1.0
4.0464 0.0000 0.0000
2.0232 3.5042 0.0000
2.0232 1.1681 3.3038
Si Li
1 1
Direct
0.7500 0.7500 0.7500
0.0000 0.0000 0.0000
```

Results
E_form (uncorrected) = 1102 meV/atom
SG = No. 216
Density of states at the Fermi level = 2.3 states/eV/f.u.

No. 2
An optimized crystal structure of Li2GaTeW, computed with PBE.

```
Li2GaTeW
1.0
4.3312 0.0000 0.0000
0.0000 5.4140 0.0000
0.0000 0.0000 4.3312
Ga Li W Te
1 2 1 1
Direct
0.0000 0.0000 0.0000
0.5000 0.0000 0.0000
0.0000 0.0000 0.5000
0.5000 0.5000 0.5000
0.0000 0.5000 0.0000
```

Results
Distance to the lowest polymorph of the same formula = 168 meV per atom
E_form (uncorrected) = 1205 meV/atom
SG = No. 123
Density of states at the Fermi level = 5.8 states/eV/f.u.

No. 3
An optimized crystal structure of ScCd2Te, computed with PBE.

```
ScCd2Te
1.0
-2.1326 -1.5602 1.9003
1.0523 -2.1338 -2.2210
7.3440 -2.6724 6.0473
Sc Cd Te
1 2 1
Direct
0.5000 0.5000 0.2500
0.0000 0.0000 0.0187
0.0000 0.0000 0.4813
0.5000 0.5000 0.7500
```

Results
E_form (uncorrected) = -43 meV/atom
SG = No. 65
Density of states at the Fermi level = 3.4 states/eV/f.u.

No. 4
An optimized crystal structure of NaTl2PtCl6, computed with PBE.

```
NaTl2PtCl6
1.0
6.7803 0.0000 0.0000
0.0000 7.1093 0.0000
0.0000 -3.5546 6.1568
Pt Cl Tl Na
1 6 2 1
Direct
0.0000 0.0000 0.0000
0.7916 0.1618 0.8382
0.7916 0.6764 0.8382
0.2084 0.3236 0.1618
0.7916 0.1618 0.3236
0.2084 0.8382 0.6764
0.2084 0.8382 0.1618
0.1518 0.3333 0.6667
0.8482 0.6667 0.3333
0.5000 0.0000 0.0000
```

Results
E_form (uncorrected) = -907 meV/atom
SG = No. 164
Density of states at the Fermi level = 3.4 states/eV/f.u.

No. 5
An optimized crystal structure of BaCuBr2, computed with PBE.

```
BaCuBr2
1.0
-4.0746 7.0275 -0.8052
-4.2546 4.8975 -4.9547
-7.1611 3.6036 -1.5392
Ba Cu Br
1 1 2
Direct
0.7638 0.7638 0.7638
0.5193 0.5193 0.5193
0.1973 0.1973 0.1973
0.0197 0.0197 0.0197
```

Results
Distance to the lowest polymorph of the same formula = 69 meV per atom
E_form (uncorrected) = -933 meV/atom
SG = No. 160
Density of states at the Fermi level = 2.3 states/eV/f.u.

No. 6
An optimized crystal structure of Ca3Zn5F12, computed with PBE.

```
Ca3Zn5F12
1.0
11.5154 0.0000 0.0000
-3.8385 10.8569 0.0000
-3.8385 -5.4284 9.4023
F Zn Ca
48 20 12
Direct
0.6620 0.4492 0.5783
0.3380 0.5508 0.4217
0.9217 0.0838 0.8710
0.0783 0.9162 0.1290
0.7128 0.5838 0.1620
0.0838 0.9217 0.3710
0.7872 0.4492 0.3710
0.8710 0.2872 0.4492
0.2872 0.8710 0.9492
0.1620 0.0838 0.7128
0.1290 0.7128 0.5508
0.2872 0.4162 0.8380
0.6290 0.0508 0.2128
0.5783 0.9492 0.6620
0.3380 0.7872 0.4162
0.2128 0.5508 0.6290
0.0783 0.1620 0.4492
0.4492 0.6620 0.0783
0.4162 0.1290 0.5783
0.0508 0.6290 0.7128
0.6290 0.5783 0.9162
0.0508 0.4217 0.8380
0.5508 0.3380 0.9217
0.4492 0.7872 0.8710
0.9217 0.8380 0.5508
0.5783 0.6290 0.4162
0.9162 0.8380 0.7872
0.8380 0.9162 0.2872
0.3710 0.9492 0.7872
0.5838 0.7128 0.6620
0.9492 0.3710 0.2872
0.7872 0.3380 0.9162
0.4162 0.2872 0.3380
0.4217 0.0508 0.3380
0.0838 0.1620 0.2128
0.8710 0.5838 0.9217
0.9162 0.0783 0.6290
0.9492 0.5783 0.1620
0.7128 0.1290 0.0508
0.4217 0.3710 0.5838
0.1290 0.4162 0.0783
0.5508 0.2128 0.1290
0.5838 0.8710 0.4217
0.6620 0.2128 0.5838
0.8380 0.9217 0.0508
0.3710 0.4217 0.0838
0.1620 0.0783 0.9492
0.2128 0.6620 0.0838
0.8750 0.6250 0.7500
0.2500 0.3750 0.6250
0.1250 0.3750 0.2500
0.3750 0.1250 0.7500
0.0000 0.0000 0.0000
0.6250 0.8750 0.2500
0.7500 0.1250 0.8750
0.5000 0.0000 0.0000
0.0000 0.0000 0.5000
0.5000 0.5000 0.5000
0.7500 0.6250 0.3750
0.5000 0.5000 0.0000
0.3750 0.2500 0.1250
0.2500 0.8750 0.1250
0.0000 0.5000 0.5000
0.0000 0.5000 0.0000
0.5000 0.0000 0.5000
0.8750 0.2500 0.6250
0.6250 0.7500 0.8750
0.1250 0.7500 0.3750
0.2500 0.6250 0.8750
0.2500 0.1250 0.3750
0.3750 0.7500 0.6250
0.7500 0.8750 0.6250
0.6250 0.2500 0.3750
0.8750 0.7500 0.1250
0.6250 0.3750 0.7500
0.1250 0.8750 0.7500
0.1250 0.2500 0.8750
0.3750 0.6250 0.2500
0.8750 0.1250 0.2500
0.7500 0.3750 0.1250
```

Results
E_form (uncorrected) = -2471 meV/atom
SG = No. 230
Density of states at the Fermi level = 5.4 states/eV/f.u.

No. 7
An optimized crystal structure of KPaPtO4, computed with PBE.

```
KPaPtO4
1.0
6.1866 0.0000 0.0000
-3.0933 6.7273 0.0617
0.0000 -3.5772 5.8828
O K Pa Pt
8 2 2 2
Direct
0.3048 0.6095 0.3728
0.7355 0.0606 0.7803
0.3251 0.0606 0.7803
0.6749 0.9394 0.2197
0.6952 0.3905 0.6272
0.3048 0.6095 0.7368
0.6952 0.3905 0.2632
0.2645 0.9394 0.2197
0.8185 0.6370 0.0685
0.1815 0.3630 0.9315
0.5000 0.0000 0.5000
0.5000 0.0000 0.0000
0.0000 0.5000 0.5000
0.5000 0.5000 0.5000
```

Results
E_form (uncorrected) = -2176 meV/atom
SG = No. 74

No. 8
An optimized crystal structure of MgPbBr2, computed with PBE.

```
MgPbBr2
1.0
-1.0467 -3.5139 0.1529
3.5669 0.8461 0.1671
-0.7431 0.7469 12.0808
Mg Br Pb
1 2 1
Direct
0.5000 0.5000 0.2500
0.0000 0.0000 0.1039
0.0000 0.0000 0.3961
0.5000 0.5000 0.7500
```

Results
Distance to the lowest polymorph of the same formula = 192 meV per atom
E_form (uncorrected) = -723 meV/atom
SG = No. 65
Density of states at the Fermi level = 1.7 states/eV/f.u.

No. 9
An optimized crystal structure of Rb2MgGe2S6, computed with PBE.

```
Rb2MgGe2S6
1.0
7.0584 0.0000 0.0000
3.5292 6.1128 0.0000
3.5292 2.0376 7.5569
S Rb Ge Mg
6 2 2 1
Direct
0.2388 0.2388 0.7611
0.7612 0.2386 0.2389
0.2386 0.7612 0.2389
0.7612 0.7612 0.2389
0.7614 0.2388 0.7611
0.2388 0.7614 0.7611
0.2180 0.2180 0.3459
0.7820 0.7820 0.6541
0.5957 0.5957 0.2128
0.4043 0.4043 0.7872
0.0000 0.0000 0.0000
```

Results
E_form (uncorrected) = -709 meV/atom
SG = No. 166

No. 10
An optimized crystal structure of HgSbBr6, computed with PBE.

```
HgSbBr6
1.0
-0.9061 1.8342 6.6947
2.5724 -4.0316 5.1126
5.9917 2.5343 3.7755
Br Hg Sb
6 1 1
Direct
0.3999 0.7605 0.7538
0.9142 0.6001 0.2462
0.7605 0.0857 0.7538
0.2395 0.9143 0.2462
0.0858 0.3999 0.7538
0.6001 0.2395 0.2462
0.5000 0.5000 0.5000
0.0000 0.0000 0.0000
```

Results
E_form (uncorrected) = -364 meV/atom
SG = No. 148
Density of states at the Fermi level = 5.4 states/eV/f.u.

No. 11
An optimized crystal structure of Zr2Sc, computed with PBE.

```
Zr2Sc
1.0
-5.0368 0.3295 -0.8335
-0.4619 -5.0315 0.8022
-0.4614 0.5197 2.9939
Sc Zr
1 2
Direct
0.0000 0.0000 0.0000
0.0000 0.5000 0.5000
0.5000 0.0000 0.5000
```

Results
Formation enthalpy at 0 K = 687 meV/atom
SG = No. 123
Density of states at the Fermi level = 3.1 states/eV/f.u.

No. 12
An optimized crystal structure of InCuPO2, computed with PBE.

```
InCuPO2
1.0
-3.8347 -0.4520 0.8694
0.3176 -3.8954 -0.6242
1.3902 -0.8024 5.7144
In Cu P O
1 1 1 2
Direct
0.0000 0.0000 0.0000
0.5000 0.5000 0.5000
0.0000 0.0000 0.5000
0.5000 0.0000 0.0000
0.0000 0.5000 0.0000
```

Results
Distance to the lowest polymorph of the same formula = 296 meV per atom
E_form (uncorrected) = 332 meV/atom
SG = No. 123
Density of states at the Fermi level = 3.7 states/eV/f.u.

No. 13
An optimized crystal structure of BaAcInPd, computed with PBE.

```
BaAcInPd
1.0
-0.3762 5.4371 -1.6163
-2.2846 1.3166 -5.0361
-5.0753 2.5495 -0.2395
In Ac Pd Ba
1 1 1 1
Direct
0.0000 0.0000 0.0000
0.7500 0.7500 0.7500
0.5000 0.5000 0.5000
0.2500 0.2500 0.2500
```

Results
Formation enthalpy at 0 K = -377 meV/atom
SG = No. 216
Density of states at the Fermi level = 3.2 states/eV/f.u.

No. 14
An optimized crystal structure of Sr2ErAgAu6, computed with PBE.

```
Sr2ErAgAu6
1.0
-4.4457 1.8135 -5.8020
0.0856 -7.1686 -2.3064
-6.4780 -3.6869 -1.0764
Ag Sr Au Er
1 2 6 1
Direct
0.0000 0.0000 0.0000
0.2500 0.7500 0.5000
0.7500 0.2500 0.5000
0.7541 0.7541 0.4917
0.7541 0.7541 0.0000
0.2459 0.2459 0.0000
0.2459 0.7541 0.0000
0.2459 0.2459 0.5083
0.7541 0.2459 0.0000
0.5000 0.5000 0.0000
```

Results
Formation enthalpy at 0 K = -221 meV/atom
SG = No. 225
Density of states at the Fermi level = 3.8 states/eV/f.u.

No. 15
An optimized crystal structure of SrLiAgBi, computed with PBE.

```
SrLiAgBi
1.0
-0.9213 -4.8749 -2.0234
-1.7242 -3.9432 3.1915
-5.0235 -1.8081 -0.4504
Bi Li Sr Ag
1 1 1 1
Direct
0.7500 0.7500 0.7500
0.0000 0.0000 0.0000
0.5000 0.5000 0.5000
0.2500 0.2500 0.2500
```

Results
Formation enthalpy at 0 K = -400 meV/atom
SG = No. 216
Density of states at the Fermi level = 1.9 states/eV/f.u.

No. 16
An optimized crystal structure of TiTlAg2F8, computed with PBE.

```
TiTlAg2F8
1.0
5.5228 0.0000 0.0000
-2.7614 4.7829 0.0000
0.0000 0.0000 7.9184
F Tl Ag Ti
8 1 2 1
Direct
0.8377 0.1623 0.8643
0.8377 0.6754 0.8643
0.6754 0.8377 0.1357
0.1623 0.3246 0.1357
0.3246 0.1623 0.8643
0.1623 0.8377 0.1357
0.6667 0.3333 0.4002
0.3333 0.6667 0.5998
0.0000 0.0000 0.5000
0.6667 0.3333 0.1397
0.3333 0.6667 0.8603
0.0000 0.0000 0.0000
```

Results
E_form (uncorrected) = -2061 meV/atom
SG = No. 164
Density of states at the Fermi level = 4.8 states/eV/f.u.

No. 17
An optimized crystal structure of TbPr3Pd12, computed with PBE.

```
TbPr3Pd12
1.0
4.1936 0.0000 0.0000
0.0000 4.1936 0.0000
0.0000 0.0000 16.8513
Pr Pd Tb
3 12 1
Direct
0.0000 0.0000 0.2466
0.0000 0.0000 0.7534
0.0000 0.0000 0.5000
0.5000 0.0000 0.1204
0.5000 0.5000 0.0000
0.5000 0.0000 0.8796
0.5000 0.0000 0.3738
0.5000 0.0000 0.6262
0.0000 0.5000 0.6262
0.5000 0.5000 0.2478
0.0000 0.5000 0.3738
0.0000 0.5000 0.1204
0.5000 0.5000 0.7522
0.0000 0.5000 0.8796
0.5000 0.5000 0.5000
0.0000 0.0000 0.0000
```

Results
Formation enthalpy at 0 K = -771 meV/atom
SG = No. 123
Density of states at the Fermi level = 9.4 states/eV/f.u.

No. 18
An optimized crystal structure of PmGaAgRh, computed with PBE.

```
PmGaAgRh
1.0
4.7909 0.0000 0.0000
2.3955 4.1491 0.0000
2.3955 1.3830 3.9118
Ga Pm Rh Ag
1 1 1 1
Direct
0.0000 0.0000 0.0000
0.5000 0.5000 0.5000
0.7500 0.7500 0.7500
0.2500 0.2500 0.2500
```

Results
Formation enthalpy at 0 K = -371 meV/atom
SG = No. 216
Density of states at the Fermi level = 3.1 states/eV/f.u.

No. 19
An optimized crystal structure of DySi2Au3, computed with PBE.

```
DySi2Au3
1.0
4.1553 0.0000 -1.1820
-0.9108 6.6469 -3.2016
0.0902 0.1001 8.2120
Au Dy Si
6 2 4
Direct
0.3183 0.5958 0.6366
0.0438 0.3604 0.0876
0.6316 0.7617 0.2632
0.3684 0.2383 0.7368
0.6817 0.4042 0.3634
0.9562 0.6396 0.9124
0.8542 0.9258 0.7083
0.1458 0.0742 0.2917
0.8080 0.3012 0.6160
0.5090 0.1630 0.0180
0.4910 0.8370 0.9820
0.1920 0.6988 0.3840
```

Results
E_form (uncorrected) = -469 meV/atom
SG = No. 12
Density of states at the Fermi level = 2.4 states/eV/f.u.

No. 20
An optimized crystal structure of Ge2TeSe, computed with PBE.

```
Ge2TeSe
1.0
0.0000 3.5761 3.5761
3.5761 0.0000 3.5761
3.5761 3.5761 0.0000
Te Se Ge
1 1 2
Direct
0.5000 0.5000 0.5000
0.0000 0.0000 0.0000
0.7500 0.7500 0.7500
0.2500 0.2500 0.2500
```

Results
Distance to the lowest polymorph of the same formula = 343 meV per atom
E_form (uncorrected) = 206 meV/atom
SG = No. 225
Density of states at the Fermi level = 2.4 states/eV/f.u.

No. 21
An optimized crystal structure of TlSbRhI2, computed with PBE.

```
TlSbRhI2
1.0
-5.7759 -0.0233 -0.2379
-0.0223 -5.6757 1.0976
-0.2052 0.9462 4.8888
Rh I Sb Tl
1 2 1 1
Direct
0.0000 0.0000 0.0000
0.5000 0.0000 0.0000
0.0000 0.5000 0.0000
0.0000 0.0000 0.5000
0.5000 0.5000 0.5000
```

Results
Distance to the lowest polymorph of the same formula = 0 meV per atom
E_form (uncorrected) = -36 meV/atom
SG = No. 123
Density of states at the Fermi level = 1.8 states/eV/f.u.

No. 22
An optimized crystal structure of Na2CaCr2N4, computed with PBE.

```
Na2CaCr2N4
1.0
-1.5711 1.3858 -2.6358
-2.5771 -6.4417 0.2998
-0.5961 7.8000 4.4562
Cr Ca Na N
2 1 2 4
Direct
0.6673 0.3347 0.9680
0.3327 0.6653 0.0320
0.0000 0.0000 0.0000
0.8622 0.7245 0.4801
0.1378 0.2755 0.5199
0.7503 0.5005 0.8649
0.5313 0.0625 0.2294
0.4687 0.9375 0.7706
0.2497 0.4995 0.1351
```

Results
E_form (uncorrected) = -557 meV/atom
SG = No. 12
Density of states at the Fermi level = 5.4 states/eV/f.u.

Total magnetization readings, ordered: 0.28 0.00 0.00 1.03 0.63 0.00 0.00 0.00 0.00 0.00 0.00 1.70 0.00 0.00 0.00 1.02 0.00 0.00 0.00 0.00 0.00 0.00 μB per cell
Ρ readings, ordered: 1.2 6.5 6.6 4.7 4.1 3.8 7.1 4.6 2.7 4.9 4.7 4.3 7.5 9.0 6.3 4.9 10.4 9.1 11.7 6.4 6.8 3.2 g cm⁻³